1.
VASP calculation (PBE-GGA) on a relaxed AcTl5Pd7 crystal.

Lattice parameters (Å, degrees): 7.5148 7.5148 7.5148 132.06 94.65 104.41
Atoms (fractional coordinates):
Ac: 0.0000 0.0000 0.0000
Tl: 0.0677 0.0151 0.5347
Tl: 0.0677 0.5330 0.0526
Tl: 0.4804 0.0151 0.9474
Tl: 0.4804 0.5330 0.4653
Tl: 0.7740 0.2740 0.5000
Pd: 0.0940 0.5940 0.5000
Pd: 0.2913 0.5255 0.7658
Pd: 0.3459 0.0377 0.3081
Pd: 0.3743 0.3743 0.0000
Pd: 0.6890 0.6890 0.0000
Pd: 0.7296 0.0377 0.6919
Pd: 0.7597 0.5255 0.2342

Computed properties:
* DOS at the Fermi energy: 0.418 states/eV per atom
* ΔE_f: -177.0 meV per atom
* V: 22.03 A^3/atom
* theoretical density: 11.6 g cm⁻³
* E_tot: -4.199 eV per atom


2.
VASP calculation (PBE-GGA) on a relaxed AcTl2Pd2 crystal.

Lattice parameters (Å, degrees): 7.1692 7.1692 7.1692 144.09 144.09 51.70
Atoms (fractional coordinates):
Ac: 0.0000 0.0000 0.0000
Tl: 0.2500 0.7500 0.5000
Tl: 0.7500 0.2500 0.5000
Pd: 0.3972 0.3972 0.0000
Pd: 0.6028 0.6028 0.0000

Computed properties:
* DOS at the Fermi energy: 0.514 states/eV per atom
* ΔE_f: -450.1 meV per atom
* V: 25.22 A^3/atom
* theoretical density: 11.2 g cm⁻³
* E_tot: -4.295 eV per atom


3.
VASP calculation (PBE-GGA) on a relaxed Ac2TlPd6 crystal.

Lattice parameters (Å, degrees): 5.9594 5.9594 6.3833 90.01 90.01 60.00
Atoms (fractional coordinates):
Ac: 0.1678 0.1678 0.2875
Ac: 0.8322 0.8322 0.7125
Tl: 0.5000 0.5000 0.5000
Pd: 0.1510 0.6747 0.1718
Pd: 0.3241 0.3241 0.8267
Pd: 0.3253 0.8490 0.8282
Pd: 0.6747 0.1510 0.1718
Pd: 0.6759 0.6759 0.1733
Pd: 0.8490 0.3253 0.8282

Computed properties:
* DOS at the Fermi energy: 0.210 states/eV per atom
* ΔE_f: -675.4 meV per atom
* V: 21.81 A^3/atom
* theoretical density: 11.0 g cm⁻³
* E_tot: -5.313 eV per atom


4.
VASP calculation (PBE-GGA) on a relaxed AcTmTlPd crystal.

Lattice parameters (Å, degrees): 5.3937 5.3937 5.3937 60.00 60.00 60.00
Atoms (fractional coordinates):
Ac: 0.0000 0.0000 0.0000
Tm: 0.5000 0.5000 0.5000
Tl: 0.7500 0.7500 0.7500
Pd: 0.2500 0.2500 0.2500

Computed properties:
* DOS at the Fermi energy: 1.165 states/eV per atom
* ΔE_f: -435.9 meV per atom
* V: 27.74 A^3/atom
* theoretical density: 10.6 g cm⁻³
* E_tot: -4.471 eV per atom


5.
VASP calculation (PBE-GGA) on a relaxed Ac2Tl2ZnPd4 crystal.

Lattice parameters (Å, degrees): 6.5830 6.5830 6.5830 115.83 115.83 97.38
Atoms (fractional coordinates):
Ac: 0.2500 0.7500 0.5000
Ac: 0.7500 0.2500 0.5000
Tl: 0.1829 0.1829 0.0000
Tl: 0.8171 0.8171 0.0000
Zn: 0.5000 0.5000 0.0000
Pd: 0.2430 0.2430 0.4861
Pd: 0.2430 0.7570 0.0000
Pd: 0.7570 0.2430 0.0000
Pd: 0.7570 0.7570 0.5139

Computed properties:
* DOS at the Fermi energy: 0.386 states/eV per atom
* ΔE_f: -482.4 meV per atom
* V: 23.61 A^3/atom
* theoretical density: 10.6 g cm⁻³
* E_tot: -4.371 eV per atom


6.
VASP calculation (PBE-GGA) on a relaxed Ac2TlZnPd6 crystal.

Lattice parameters (Å, degrees): 5.8508 5.8559 8.9380 71.09 70.96 60.04
Atoms (fractional coordinates):
Ac: 0.2114 0.2114 0.3649
Ac: 0.7886 0.7886 0.6351
Tl: 0.0000 0.0000 0.0000
Zn: 0.5000 0.5000 0.5000
Pd: 0.2385 0.7438 0.2721
Pd: 0.2552 0.2559 0.7283
Pd: 0.2557 0.7622 0.7278
Pd: 0.7443 0.2378 0.2722
Pd: 0.7448 0.7441 0.2717
Pd: 0.7615 0.2562 0.7279

Computed properties:
* DOS at the Fermi energy: 0.349 states/eV per atom
* ΔE_f: -524.7 meV per atom
* V: 24.59 A^3/atom
* theoretical density: 9.2 g cm⁻³
* E_tot: -4.826 eV per atom